(1)
A relaxed CaOsC3 crystal, computed with GGA-PBE.

Structure (CIF):
```
data_CaOsC3
_chemical_formula_sum 'Ca1 Os1 C3'
_cell_length_a 4.015
_cell_length_b 4.015
_cell_length_c 4.015
_cell_angle_alpha 90.00
_cell_angle_beta 90.00
_cell_angle_gamma 90.00
_symmetry_space_group_name_H-M 'P m -3 m'
_symmetry_Int_Tables_number 221
_symmetry_space_group_name_Hall '-P 4 2 3'
loop_
_atom_site_label
_atom_site_type_symbol
_atom_site_fract_x
_atom_site_fract_y
_atom_site_fract_z
Ca1 Ca 0.000 0.000 0.000
Os1 Os 0.500 0.500 0.500
C1 C 0.000 0.500 0.500
```

Output
energy relative to the elements	1109	meV/atom
polymorph energy (0 for the lowest one)	0.000	eV/f.u.


(2)
A relaxed Ca3OsC2 crystal, computed with GGA-PBE.

Structure (CIF):
```
data_Ca3OsC2
_chemical_formula_sum 'Ca12 Os4 C8'
_cell_length_a 9.087
_cell_length_b 7.615
_cell_length_c 6.474
_cell_angle_alpha 90.00
_cell_angle_beta 90.00
_cell_angle_gamma 90.00
_symmetry_space_group_name_H-M 'C m c m'
_symmetry_Int_Tables_number 63
_symmetry_space_group_name_Hall '-C 2c 2'
loop_
_atom_site_label
_atom_site_type_symbol
_atom_site_fract_x
_atom_site_fract_y
_atom_site_fract_z
Ca1 Ca 0.000 0.247 0.250
Ca2 Ca 0.217 0.500 0.000
Os1 Os 0.000 0.155 0.750
C1 C 0.000 0.000 0.000
C2 C 0.000 0.407 0.750
```

Output
energy relative to the elements	107	meV/atom


(3)
A relaxed Ca2OsC2 crystal, computed with GGA-PBE.

Structure (CIF):
```
data_Ca2OsC2
_chemical_formula_sum 'Ca8 Os4 C8'
_cell_length_a 11.627
_cell_length_b 5.159
_cell_length_c 6.954
_cell_angle_alpha 90.00
_cell_angle_beta 120.36
_cell_angle_gamma 90.00
_symmetry_space_group_name_H-M 'C 1 2/m 1'
_symmetry_Int_Tables_number 12
_symmetry_space_group_name_Hall '-C 2y'
loop_
_atom_site_label
_atom_site_type_symbol
_atom_site_fract_x
_atom_site_fract_y
_atom_site_fract_z
Ca1 Ca 0.032 0.000 0.274
Ca2 Ca 0.179 0.500 0.123
Os1 Os 0.133 0.500 0.640
C1 C 0.016 0.500 0.302
C2 C 0.191 0.000 0.132
```

Output
energy relative to the elements	19	meV/atom
polymorph energy (0 for the lowest one)	0.496	eV/f.u.


(4)
A relaxed CaOs2C crystal, computed with GGA-PBE.

Structure (CIF):
```
data_CaOs2C
_chemical_formula_sum 'Ca4 Os8 C4'
_cell_length_a 5.764
_cell_length_b 5.764
_cell_length_c 9.514
_cell_angle_alpha 90.00
_cell_angle_beta 90.00
_cell_angle_gamma 90.00
_symmetry_space_group_name_H-M 'I -4 2 d'
_symmetry_Int_Tables_number 122
_symmetry_space_group_name_Hall 'I -4 2bw'
loop_
_atom_site_label
_atom_site_type_symbol
_atom_site_fract_x
_atom_site_fract_y
_atom_site_fract_z
Ca1 Ca 0.000 0.000 0.000
Os1 Os 0.057 0.250 0.625
C1 C 0.000 0.000 0.500
```

Output
energy relative to the elements	829	meV/atom


(5)
A relaxed Ca3OsC3 crystal, computed with GGA-PBE.

Structure (CIF):
```
data_Ca3OsC3
_chemical_formula_sum 'Ca12 Os4 C12'
_cell_length_a 8.840
_cell_length_b 10.900
_cell_length_c 5.201
_cell_angle_alpha 90.00
_cell_angle_beta 90.00
_cell_angle_gamma 90.00
_symmetry_space_group_name_H-M 'C m c m'
_symmetry_Int_Tables_number 63
_symmetry_space_group_name_Hall '-C 2c 2'
loop_
_atom_site_label
_atom_site_type_symbol
_atom_site_fract_x
_atom_site_fract_y
_atom_site_fract_z
Ca1 Ca 0.000 0.108 0.250
Ca2 Ca 0.209 0.383 0.250
Os1 Os 0.000 0.298 0.750
C1 C 0.000 0.127 0.750
C2 C 0.189 0.375 0.750
```

Output
energy relative to the elements	29	meV/atom


(6)
A relaxed CaOs3C crystal, computed with GGA-PBE.

Structure (CIF):
```
data_CaOs3C
_chemical_formula_sum 'Ca1 Os3 C1'
_cell_length_a 4.681
_cell_length_b 4.681
_cell_length_c 4.681
_cell_angle_alpha 90.00
_cell_angle_beta 90.00
_cell_angle_gamma 90.00
_symmetry_space_group_name_H-M 'P m -3 m'
_symmetry_Int_Tables_number 221
_symmetry_space_group_name_Hall '-P 4 2 3'
loop_
_atom_site_label
_atom_site_type_symbol
_atom_site_fract_x
_atom_site_fract_y
_atom_site_fract_z
Ca1 Ca 0.000 0.000 0.000
Os1 Os 0.000 0.000 0.500
C1 C 0.500 0.500 0.500
```

Output
energy relative to the elements	4543	meV/atom
polymorph energy (0 for the lowest one)	20.287	eV/f.u.


(7)
A relaxed Ca2OsC2 crystal, computed with GGA-PBE.

Structure (CIF):
```
data_Ca2OsC2
_chemical_formula_sum 'Ca8 Os4 C8'
_cell_length_a 6.600
_cell_length_b 5.180
_cell_length_c 10.412
_cell_angle_alpha 90.00
_cell_angle_beta 90.00
_cell_angle_gamma 90.00
_symmetry_space_group_name_H-M 'P n m a'
_symmetry_Int_Tables_number 62
_symmetry_space_group_name_Hall '-P 2ac 2n'
loop_
_atom_site_label
_atom_site_type_symbol
_atom_site_fract_x
_atom_site_fract_y
_atom_site_fract_z
Ca1 Ca 0.040 0.250 0.215
Ca2 Ca 0.187 0.250 0.548
Os1 Os 0.232 0.250 0.847
C1 C 0.033 0.750 0.239
C2 C 0.214 0.750 0.520
```

Output
energy relative to the elements	-80	meV/atom
polymorph energy (0 for the lowest one)	0.000	eV/f.u.


(8)
A relaxed CaOsC3 crystal, computed with GGA-PBE.

Structure (CIF):
```
data_CaOsC3
_chemical_formula_sum 'Ca1 Os1 C3'
_cell_length_a 4.071
_cell_length_b 4.071
_cell_length_c 4.071
_cell_angle_alpha 90.00
_cell_angle_beta 90.00
_cell_angle_gamma 90.00
_symmetry_space_group_name_H-M 'P m -3 m'
_symmetry_Int_Tables_number 221
_symmetry_space_group_name_Hall '-P 4 2 3'
loop_
_atom_site_label
_atom_site_type_symbol
_atom_site_fract_x
_atom_site_fract_y
_atom_site_fract_z
Ca1 Ca 0.000 0.000 0.000
Os1 Os 0.500 0.500 0.500
C1 C 0.000 0.000 0.500
```

Output
energy relative to the elements	3929	meV/atom
polymorph energy (0 for the lowest one)	14.101	eV/f.u.


(9)
A relaxed Ca2TeOsC crystal, computed with GGA-PBE.

Structure (CIF):
```
data_Ca2TeOsC
_chemical_formula_sum 'Ca2 Te1 Os1 C1'
_cell_length_a 5.181
_cell_length_b 5.181
_cell_length_c 3.951
_cell_angle_alpha 90.00
_cell_angle_beta 90.00
_cell_angle_gamma 90.00
_symmetry_space_group_name_H-M 'P 4/m m m'
_symmetry_Int_Tables_number 123
_symmetry_space_group_name_Hall '-P 4 2'
loop_
_atom_site_label
_atom_site_type_symbol
_atom_site_fract_x
_atom_site_fract_y
_atom_site_fract_z
Ca1 Ca 0.000 0.500 0.000
Te1 Te 0.000 0.000 0.500
Os1 Os 0.500 0.500 0.500
C1 C 0.500 0.500 0.000
```

Output
uncorrected formation energy	-0.316	eV/atom


(10)
A relaxed Ca2TiOsC crystal, computed with GGA-PBE.

Structure (CIF):
```
data_Ca2TiOsC
_chemical_formula_sum 'Ca2 Ti1 Os1 C1'
_cell_length_a 5.666
_cell_length_b 5.666
_cell_length_c 3.894
_cell_angle_alpha 90.00
_cell_angle_beta 90.00
_cell_angle_gamma 90.00
_symmetry_space_group_name_H-M 'P 4/m m m'
_symmetry_Int_Tables_number 123
_symmetry_space_group_name_Hall '-P 4 2'
loop_
_atom_site_label
_atom_site_type_symbol
_atom_site_fract_x
_atom_site_fract_y
_atom_site_fract_z
Ca1 Ca 0.000 0.500 0.000
Ti1 Ti 0.000 0.000 0.500
Os1 Os 0.500 0.500 0.000
C1 C 0.500 0.500 0.500
```

Output
energy relative to the elements	916	meV/atom


(11)
A relaxed Ca2TlOsC crystal, computed with GGA-PBE.

Structure (CIF):
```
data_Ca2TlOsC
_chemical_formula_sum 'Ca2 Tl1 Os1 C1'
_cell_length_a 5.150
_cell_length_b 5.150
_cell_length_c 3.942
_cell_angle_alpha 90.00
_cell_angle_beta 90.00
_cell_angle_gamma 90.00
_symmetry_space_group_name_H-M 'P 4/m m m'
_symmetry_Int_Tables_number 123
_symmetry_space_group_name_Hall '-P 4 2'
loop_
_atom_site_label
_atom_site_type_symbol
_atom_site_fract_x
_atom_site_fract_y
_atom_site_fract_z
Ca1 Ca 0.000 0.500 0.000
Tl1 Tl 0.000 0.000 0.500
Os1 Os 0.500 0.500 0.500
C1 C 0.500 0.500 0.000
```

Output
energy relative to the elements	-81	meV/atom


(12)
A relaxed CaP2C crystal, computed with GGA-PBE.

Structure (CIF):
```
data_CaP2C
_chemical_formula_sum 'Ca4 P8 C4'
_cell_length_a 6.110
_cell_length_b 6.110
_cell_length_c 7.129
_cell_angle_alpha 90.00
_cell_angle_beta 90.00
_cell_angle_gamma 90.00
_symmetry_space_group_name_H-M 'I -4 2 d'
_symmetry_Int_Tables_number 122
_symmetry_space_group_name_Hall 'I -4 2bw'
loop_
_atom_site_label
_atom_site_type_symbol
_atom_site_fract_x
_atom_site_fract_y
_atom_site_fract_z
Ca1 Ca 0.000 0.000 0.000
P1 P 0.130 0.250 0.625
C1 C 0.000 0.000 0.500
```

Output
energy relative to the elements	-42	meV/atom


(13)
A relaxed CaP3C crystal, computed with GGA-PBE.

Structure (CIF):
```
data_CaP3C
_chemical_formula_sum 'Ca1 P3 C1'
_cell_length_a 5.150
_cell_length_b 5.150
_cell_length_c 5.150
_cell_angle_alpha 90.00
_cell_angle_beta 90.00
_cell_angle_gamma 90.00
_symmetry_space_group_name_H-M 'P m -3 m'
_symmetry_Int_Tables_number 221
_symmetry_space_group_name_Hall '-P 4 2 3'
loop_
_atom_site_label
_atom_site_type_symbol
_atom_site_fract_x
_atom_site_fract_y
_atom_site_fract_z
Ca1 Ca 0.000 0.000 0.000
P1 P 0.000 0.000 0.500
C1 C 0.500 0.500 0.500
```

Output
energy relative to the elements	2577	meV/atom
polymorph energy (0 for the lowest one)	9.640	eV/f.u.